# BaTaMo2 PBE relaxed
data_BaTaMo2
_chemical_formula_sum 'Ba1 Ta1 Mo2'
_space_group_name_H-M_alt 'P 1'
_space_group_IT_number 1
_cell_length_a 3.234
_cell_length_b 3.234
_cell_length_c 8.574
_cell_angle_alpha 90.00
_cell_angle_beta 90.00
_cell_angle_gamma 90.00
loop_
_space_group_symop_operation_xyz
'x,y,z'
loop_
_atom_site_label
_atom_site_fract_x
_atom_site_fract_y
_atom_site_fract_z
Ba1 0.000 0.000 0.000
Ta1 0.500 0.500 0.661
Mo1 0.000 0.000 0.478
Mo2 0.500 0.500 0.317
# * VASP energy: -32.85 eV/cell
# * total magnetization: 0.00 μB per formula unit
# * space group: P4mm, No. 99